1.
A relaxed structure of CdSbI2Cl. Source: Alexandria, functional PBE.

Computed properties:
- DOS(E_F): 0.916 states/eV/atom
- ΔE to the lowest computed polymorph: 0.000 eV per atom
- Formation energy from raw total energies: 0.28 eV per atom

Unit cell a=5.690 b=5.690 c=5.850 alpha=90.00 beta=90.00 gamma=90.00
Space group P4/mmm (No. 123)
Inequivalent atoms, fractional coordinates:
1 Cd 0.000 0.000 0.000 x1
2 Sb 0.000 0.000 0.500 x1
3 I 0.000 0.500 0.000 x2
4 Cl 0.500 0.500 0.500 x1

2.
A relaxed structure of CdSbI2Cl. Source: Alexandria, functional PBE.

Computed properties:
- DOS(E_F): 1.477 states/eV/atom
- ΔE to the lowest computed polymorph: 0.205 eV per atom
- Formation energy from raw total energies: 0.49 eV per atom

Unit cell a=6.390 b=6.390 c=5.115 alpha=90.00 beta=90.00 gamma=90.00
Space group P4/mmm (No. 123)
Inequivalent atoms, fractional coordinates:
1 Cd 0.000 0.000 0.000 x1
2 Sb 0.500 0.500 0.000 x1
3 I 0.000 0.500 0.500 x2
4 Cl 0.500 0.500 0.500 x1

3.
A relaxed structure of Sr3CdI2Cl6. Source: Alexandria, functional PBE.

Computed properties:
- DOS(E_F): 0.000 states/eV/atom
- Formation energy from raw total energies: -1.87 eV per atom

Unit cell a=14.754 b=8.534 c=6.853 alpha=90.00 beta=96.22 gamma=90.00
Space group C2/m (No. 12)
Inequivalent atoms, fractional coordinates:
1 Sr 0.000 0.000 0.000 x2
2 Sr 0.250 0.250 0.500 x4
3 Cd 0.000 0.500 0.500 x2
4 I 0.196 0.000 0.824 x4
5 Cl 0.068 0.253 0.282 x8
6 Cl 0.160 0.500 0.694 x4

4.
A relaxed structure of TaCdI2Cl. Source: Alexandria, functional PBE.

Computed properties:
- DOS(E_F): 0.660 states/eV/atom
- Formation energy from raw total energies: -0.03 eV per atom

Unit cell a=5.623 b=5.623 c=4.864 alpha=90.00 beta=90.00 gamma=90.00
Space group P4/mmm (No. 123)
Inequivalent atoms, fractional coordinates:
1 Ta 0.000 0.000 0.000 x1
2 Cd 0.500 0.500 0.500 x1
3 I 0.000 0.500 0.000 x2
4 Cl 0.000 0.000 0.500 x1